Entry 1:
Density functional theory data (PBE) for a relaxed structure of PmTc2N4.

Summary:
DOS at the Fermi energy ... 5.99 states/eV/cell
Magnetic moment ... 0.0000 μB/atom

Cell and atoms, written as POSCAR:
```
PmTc2N4
1.0
1.6275 -4.9217 0.0000
1.6275 4.9217 0.0000
0.0000 0.0000 10.0213
Pm Tc N
2 4 8
Direct
0.1263 0.8737 0.7500
0.8737 0.1263 0.2500
0.3857 0.6143 0.5633
0.3857 0.6143 0.9367
0.6143 0.3857 0.0633
0.6143 0.3857 0.4367
0.0000 0.0000 0.0000
0.0000 0.0000 0.5000
0.2587 0.7413 0.1030
0.2587 0.7413 0.3970
0.4302 0.5698 0.7500
0.5698 0.4302 0.2500
0.7413 0.2587 0.6030
0.7413 0.2587 0.8970
```



Entry 2:
Density functional theory data (PBE) for a relaxed structure of PmTc2N3.

Summary:
DOS at the Fermi energy ... 2.81 states/eV/cell
Magnetic moment ... 0.0000 μB/atom

Cell and atoms, written as POSCAR:
```
PmTc2N3
1.0
1.9791 -6.0305 0.0000
1.9791 6.0305 0.0000
0.0000 0.0000 3.3144
Pm Tc N
1 2 3
Direct
0.0000 0.0000 0.0000
0.3324 0.6676 0.5000
0.6676 0.3324 0.5000
0.1609 0.8391 0.5000
0.5000 0.5000 0.5000
0.8391 0.1609 0.5000
```



Entry 3:
Density functional theory data (PBE) for a relaxed structure of Pm3Tc2N6.

Summary:
DOS at the Fermi energy ... 5.58 states/eV/cell
Magnetic moment ... 0.0000 μB/atom

Cell and atoms, written as POSCAR:
```
Pm3Tc2N6
1.0
-1.9611 1.9611 9.7132
1.9611 -1.9611 9.7132
1.9611 1.9611 -9.7132
Pm Tc N
3 2 6
Direct
0.0000 0.0000 0.0000
0.1832 0.1832 0.0000
0.8168 0.8168 0.0000
0.4069 0.4069 0.0000
0.5931 0.5931 0.0000
0.0860 0.5860 0.5000
0.3017 0.3017 0.0000
0.4140 0.9140 0.5000
0.5860 0.0860 0.5000
0.6983 0.6983 0.0000
0.9140 0.4140 0.5000
```



Entry 4:
Density functional theory data (PBE) for a relaxed structure of PmTc7N12.

Summary:
DOS at the Fermi energy ... 9.77 states/eV/cell
Magnetic moment ... 0.3705 μB/atom

Cell and atoms, written as POSCAR:
```
PmTc7N12
1.0
-3.8194 3.8194 3.8194
3.8194 -3.8194 3.8194
3.8194 3.8194 -3.8194
Pm Tc N
1 7 12
Direct
0.0000 0.0000 0.0000
0.0000 0.0000 0.5000
0.0000 0.5000 0.0000
0.0000 0.5000 0.5000
0.5000 0.0000 0.0000
0.5000 0.0000 0.5000
0.5000 0.5000 0.0000
0.5000 0.5000 0.5000
0.1253 0.8179 0.3074
0.1821 0.3074 0.4895
0.1821 0.6926 0.8747
0.3074 0.1253 0.8179
0.3074 0.4895 0.1821
0.4895 0.1821 0.3074
0.5105 0.8179 0.6926
0.6926 0.5105 0.8179
0.6926 0.8747 0.1821
0.8179 0.3074 0.1253
0.8179 0.6926 0.5105
0.8747 0.1821 0.6926
```



Entry 5:
Density functional theory data (PBE) for a relaxed structure of Pm2TcN4.

Summary:
DOS at the Fermi energy ... 5.49 states/eV/cell
Magnetic moment ... 0.0000 μB/atom

Cell and atoms, written as POSCAR:
```
Pm2TcN4
1.0
5.9277 0.0000 0.0000
0.0000 5.8167 0.0000
-2.0879 0.0000 6.4210
Pm Tc N
4 2 8
Direct
0.1836 0.2500 0.0397
0.2511 0.2500 0.5607
0.7489 0.7500 0.4393
0.8164 0.7500 0.9603
0.2745 0.7500 0.8103
0.7255 0.2500 0.1897
0.0425 0.5124 0.7518
0.0425 0.9876 0.7518
0.4467 0.7500 0.0824
0.4597 0.7500 0.6391
0.5403 0.2500 0.3609
0.5533 0.2500 0.9176
0.9575 0.0124 0.2482
0.9575 0.4876 0.2482
```



Entry 6:
Density functional theory data (PBE) for a relaxed structure of Pm3TcN.

Summary:
DOS at the Fermi energy ... 2.35 states/eV/cell
Magnetic moment ... 0.0001 μB/atom

Cell and atoms, written as POSCAR:
```
Pm3TcN
1.0
4.8652 0.0000 0.0000
0.0000 4.8652 0.0000
0.0000 0.0000 4.8652
Pm Tc N
3 1 1
Direct
0.0000 0.0000 0.5000
0.0000 0.5000 0.0000
0.5000 0.0000 0.0000
0.5000 0.5000 0.5000
0.0000 0.0000 0.0000
```



Entry 7:
Density functional theory data (PBE) for a relaxed structure of Pm3Tc2N7.

Summary:
DOS at the Fermi energy ... 3.01 states/eV/cell
Magnetic moment ... 0.0000 μB/atom

Cell and atoms, written as POSCAR:
```
Pm3Tc2N7
1.0
2.0197 -9.9972 0.0000
2.0197 9.9972 0.0000
0.0000 0.0000 3.8101
Pm Tc N
3 2 7
Direct
0.0000 0.0000 0.0000
0.1815 0.8185 0.0000
0.8185 0.1815 0.0000
0.3996 0.6004 0.5000
0.6004 0.3996 0.5000
0.0957 0.9043 0.5000
0.2967 0.7033 0.5000
0.3958 0.6042 0.0000
0.5000 0.5000 0.5000
0.6042 0.3958 0.0000
0.7033 0.2967 0.5000
0.9043 0.0957 0.5000
```



Entry 8:
Density functional theory data (PBE) for a relaxed structure of PmTh2TcN5.

Summary:
DOS at the Fermi energy ... 10.20 states/eV/cell
Magnetic moment ... 0.0001 μB/atom

Cell and atoms, written as POSCAR:
```
PmTh2TcN5
1.0
-3.3929 3.3929 5.8437
3.3929 -3.3929 5.8437
3.3929 3.3929 -5.8437
Pm Th Tc N
2 4 2 10
Direct
0.2500 0.2500 0.0000
0.7500 0.7500 0.0000
0.1763 0.6763 0.8525
0.3237 0.1763 0.5000
0.6763 0.8237 0.5000
0.8237 0.3237 0.1475
0.2500 0.7500 0.5000
0.7500 0.2500 0.5000
0.0000 0.0000 0.0000
0.0078 0.2116 0.5000
0.2116 0.7116 0.2038
0.2884 0.4922 0.5000
0.4922 0.9922 0.2038
0.5000 0.5000 0.0000
0.5078 0.0078 0.7962
0.7116 0.5078 0.5000
0.7884 0.2884 0.7962
0.9922 0.7884 0.5000
```



Entry 9:
Density functional theory data (PBE) for a relaxed structure of PmTm2TcN4.

Summary:
DOS at the Fermi energy ... 3.13 states/eV/cell
Magnetic moment ... 0.0000 μB/atom

Cell and atoms, written as POSCAR:
```
PmTm2TcN4
1.0
1.7123 -5.7852 0.0000
1.7123 5.7852 0.0000
0.0000 0.0000 11.4547
Pm Tm Tc N
2 4 2 8
Direct
0.1248 0.8752 0.7500
0.8752 0.1248 0.2500
0.3688 0.6312 0.5397
0.3688 0.6312 0.9603
0.6312 0.3688 0.0397
0.6312 0.3688 0.4603
0.1386 0.8614 0.2500
0.8614 0.1386 0.7500
0.0000 0.0000 0.0000
0.0000 0.0000 0.5000
0.2624 0.7376 0.1255
0.2624 0.7376 0.3745
0.4444 0.5556 0.7500
0.5556 0.4444 0.2500
0.7376 0.2624 0.6255
0.7376 0.2624 0.8745
```



Entry 10:
Density functional theory data (PBE) for a relaxed structure of Pm2VTcN5.

Summary:
DOS at the Fermi energy ... 4.85 states/eV/cell
Magnetic moment ... 0.0886 μB/atom

Cell and atoms, written as POSCAR:
```
Pm2VTcN5
1.0
1.6861 -6.8803 0.0000
1.6861 6.8803 0.0000
0.0000 0.0000 9.9012
Pm V Tc N
4 2 2 10
Direct
0.1180 0.8820 0.5000
0.1357 0.8643 0.1282
0.8643 0.1357 0.6282
0.8820 0.1180 0.0000
0.4439 0.5561 0.2654
0.5561 0.4439 0.7654
0.2103 0.7897 0.8451
0.7897 0.2103 0.3451
0.0415 0.9585 0.8488
0.2966 0.7034 0.4642
0.3176 0.6824 0.1976
0.3484 0.6516 0.8263
0.4986 0.5014 0.6075
0.5014 0.4986 0.1075
0.6516 0.3484 0.3263
0.6824 0.3176 0.6976
0.7034 0.2966 0.9642
0.9585 0.0415 0.3488
```



Entry 11:
Density functional theory data (PBE) for a relaxed structure of Pm2TcWN6.

Summary:
DOS at the Fermi energy ... 2.01 states/eV/cell
Magnetic moment ... 0.0000 μB/atom

Cell and atoms, written as POSCAR:
```
Pm2TcWN6
1.0
5.4522 0.0000 0.0000
0.0000 5.4522 0.0000
0.0000 0.0000 4.6285
Pm Tc W N
2 1 1 6
Direct
0.0000 0.5000 0.0000
0.5000 0.0000 0.0000
0.0000 0.0000 0.5645
0.5000 0.5000 0.5747
0.0000 0.0000 0.1898
0.2484 0.2484 0.6917
0.2484 0.7516 0.6917
0.5000 0.5000 0.1841
0.7516 0.2484 0.6917
0.7516 0.7516 0.6917
```



Entry 12:
Density functional theory data (PBE) for a relaxed structure of Pm2TcWN5.

Summary:
DOS at the Fermi energy ... 1.79 states/eV/cell
Magnetic moment ... 0.0000 μB/atom

Cell and atoms, written as POSCAR:
```
Pm2TcWN5
1.0
1.7031 -6.5666 0.0000
1.7031 6.5666 0.0000
0.0000 0.0000 10.3366
Pm Tc W N
4 2 2 10
Direct
0.1062 0.8938 0.5000
0.1547 0.8453 0.0958
0.8453 0.1547 0.5958
0.8938 0.1062 0.0000
0.2251 0.7749 0.8264
0.7749 0.2251 0.3264
0.4738 0.5262 0.2681
0.5262 0.4738 0.7681
0.0516 0.9484 0.8547
0.2793 0.7207 0.4373
0.3252 0.6748 0.1855
0.3767 0.6233 0.8127
0.4854 0.5146 0.5907
0.5146 0.4854 0.0907
0.6233 0.3767 0.3127
0.6748 0.3252 0.6855
0.7207 0.2793 0.9373
0.9484 0.0516 0.3547
```



Entry 13:
Density functional theory data (PBE) for a relaxed structure of PmZn2TcN4.

Summary:
DOS at the Fermi energy ... 2.63 states/eV/cell
Magnetic moment ... 0.2208 μB/atom

Cell and atoms, written as POSCAR:
```
PmZn2TcN4
1.0
-2.6510 2.6510 3.8533
2.6510 -2.6510 3.8533
2.6510 2.6510 -3.8533
Pm Zn Tc N
1 2 1 4
Direct
0.0000 0.0000 0.0000
0.2500 0.7500 0.5000
0.7500 0.2500 0.5000
0.5000 0.5000 0.0000
0.1496 0.1496 0.5764
0.4267 0.8504 0.0000
0.5733 0.5733 0.4236
0.8504 0.4267 0.0000
```



Entry 14:
Density functional theory data (PBE) for a relaxed structure of Pm2TeN2.

Summary:
Magnetic moment ... 0.0000 μB/atom

Cell and atoms, written as POSCAR:
```
Pm2TeN2
1.0
7.0745 -2.2879 0.0000
7.0745 2.2879 0.0000
-1.1025 0.0000 6.5274
Pm Te N
4 2 4
Direct
0.0937 0.5955 0.8405
0.4045 0.9063 0.6595
0.5955 0.0937 0.3405
0.9063 0.4045 0.1595
0.2483 0.7517 0.2500
0.7517 0.2483 0.7500
0.1208 0.3441 0.5229
0.3441 0.1208 0.0229
0.6559 0.8792 0.9771
0.8792 0.6559 0.4771
```



Entry 15:
Density functional theory data (PBE) for a relaxed structure of Pm5Te4N.

Summary:
DOS at the Fermi energy ... 6.67 states/eV/cell
Magnetic moment ... 0.0000 μB/atom

Cell and atoms, written as POSCAR:
```
Pm5Te4N
1.0
-4.8228 4.8228 3.0803
4.8228 -4.8228 3.0803
4.8228 4.8228 -3.0803
Pm Te N
5 4 1
Direct
0.0000 0.0000 0.0000
0.3028 0.6370 0.8479
0.4549 0.3028 0.6657
0.6370 0.7891 0.3343
0.7891 0.4549 0.1521
0.1299 0.3555 0.3968
0.3555 0.9586 0.2255
0.7331 0.1299 0.7745
0.9586 0.7331 0.6032
0.5681 0.5681 0.0000
```



Entry 16:
Density functional theory data (PBE) for a relaxed structure of Pm2TeN.

Summary:
DOS at the Fermi energy ... 2.24 states/eV/cell
Magnetic moment ... 0.0000 μB/atom

Cell and atoms, written as POSCAR:
```
Pm2TeN
1.0
4.6252 0.0000 0.0000
0.0000 4.6252 0.0000
0.0000 0.0000 9.2741
Pm Te N
4 2 2
Direct
0.2500 0.2500 0.1698
0.2500 0.7500 0.5000
0.7500 0.2500 0.5000
0.7500 0.7500 0.8302
0.2500 0.2500 0.8089
0.7500 0.7500 0.1911
0.2500 0.2500 0.4138
0.7500 0.7500 0.5862
```



Entry 17:
Density functional theory data (PBE) for a relaxed structure of Pm2TeN.

Summary:
DOS at the Fermi energy ... 7.52 states/eV/cell
Magnetic moment ... 0.0000 μB/atom

Cell and atoms, written as POSCAR:
```
Pm2TeN
1.0
8.2574 0.0000 0.0000
0.0000 7.1071 0.0000
-0.1630 0.0000 6.9413
Pm Te N
8 4 4
Direct
0.0847 0.1650 0.3571
0.0847 0.3350 0.8571
0.2922 0.6801 0.5417
0.2922 0.8199 0.0417
0.7078 0.1801 0.9583
0.7078 0.3199 0.4583
0.9153 0.6650 0.1429
0.9153 0.8350 0.6429
0.3730 0.1048 0.6974
0.3730 0.3952 0.1974
0.6270 0.6048 0.8026
0.6270 0.8952 0.3026
0.1115 0.6688 0.8389
0.1115 0.8312 0.3389
0.8885 0.1688 0.6611
0.8885 0.3312 0.1611
```



Entry 18:
Density functional theory data (PBE) for a relaxed structure of Pm2TeN.

Summary:
DOS at the Fermi energy ... 2.93 states/eV/cell
Magnetic moment ... 0.0286 μB/atom

Cell and atoms, written as POSCAR:
```
Pm2TeN
1.0
1.9264 1.1122 7.2024
-1.9264 1.1122 7.2024
0.0000 -2.2244 7.2024
Pm Te N
2 1 1
Direct
0.0000 0.0000 0.0000
0.2092 0.2092 0.2092
0.4385 0.4385 0.4385
0.6077 0.6077 0.6077
```



Entry 19:
Density functional theory data (PBE) for a relaxed structure of PmTeN.

Summary:
DOS at the Fermi energy ... 3.86 states/eV/cell
Magnetic moment ... 0.0000 μB/atom

Cell and atoms, written as POSCAR:
```
PmTeN
1.0
3.1383 -2.0522 0.0000
3.1383 2.0522 0.0000
-2.0925 0.0000 11.8988
Pm Te N
2 2 2
Direct
0.1743 0.1743 0.3700
0.8257 0.8257 0.6300
0.2520 0.2520 0.8309
0.7480 0.7480 0.1691
0.4504 0.4504 0.5507
0.5496 0.5496 0.4493
```



Entry 20:
Density functional theory data (PBE) for a relaxed structure of Pm4Te3N.

Summary:
DOS at the Fermi energy ... 8.18 states/eV/cell
Magnetic moment ... 0.0000 μB/atom

Cell and atoms, written as POSCAR:
```
Pm4Te3N
1.0
10.3863 0.0000 0.0000
0.0000 8.1476 0.0000
0.0000 0.0000 6.1196
Pm Te N
8 6 2
Direct
0.0000 0.1290 0.0000
0.0000 0.8555 0.4736
0.2041 0.2419 0.4604
0.2959 0.7581 0.9604
0.5000 0.1445 0.9736
0.5000 0.8710 0.5000
0.7041 0.7581 0.9604
0.7959 0.2419 0.4604
0.0000 0.7492 0.9775
0.2381 0.3547 0.9632
0.2619 0.6453 0.4632
0.5000 0.2508 0.4775
0.7381 0.6453 0.4632
0.7619 0.3547 0.9632
0.0000 0.1368 0.3912
0.5000 0.8632 0.8912
```



Taking the records one at a time from the top gives energy relative to the elements, uncorrected values of -380 -421 -824 316 -785 -295 -470 -1071 -1143 -910 -690 -805 -237 -1182 -1332 -1402 -1304 -1331 -801 -1207 meV per atom.
Taking the records one at a time from the top gives total DFT energy (no corrections) values of -122.882 -52.987 -93.998 -170.904 -117.326 -34.420 -98.897 -162.453 -133.005 -157.599 -89.675 -163.378 -52.862 -70.409 -57.965 -53.149 -104.732 -26.294 -37.240 -92.825 eV per cell.